Tb2Nd3Y6Mg after structural relaxation. Source: Alexandria via LeMat-Bulk, functional PBE-GGA.

Geometry as POSCAR:
```
Tb2Nd3Y6Mg
1.0
3.101 -5.375 0.000
3.101 5.375 0.000
-2.078 0.000 11.631
Tb Nd Y Mg
2 3 6 1
Cartesian
3.101 3.586 0.000 Tb
3.101 -3.586 0.000 Tb
-1.039 0.000 5.815 Nd
2.062 1.781 5.815 Nd
2.062 -1.781 5.815 Nd
0.000 1.783 8.780 Y
1.036 0.000 2.859 Y
0.000 -1.783 8.780 Y
4.123 1.783 2.851 Y
3.088 0.000 8.772 Y
4.123 -1.783 2.851 Y
3.101 0.000 0.000 Mg
```

Properties
**SG**: C2/m
**Magnetization**: 0.00 μB/cell
**D(E_F)**: 18.7 states/eV per cell
**DFT formation energy**: 0.0296 eV per atom
**Crystal system**: monoclinic

---

Rb2MgZn after structural relaxation. Source: Alexandria via LeMat-Bulk, functional PBE-GGA.

Geometry as POSCAR:
```
Rb2MgZn
1.0
-6.568 6.568 2.669
6.568 -6.568 2.669
6.568 6.568 -2.669
Rb Mg Zn
4 2 2
Cartesian
1.152 3.284 0.667 Rb
-3.284 5.415 2.002 Rb
-1.152 9.852 0.667 Rb
3.284 7.720 2.002 Rb
6.568 0.000 1.334 Mg
0.000 0.000 2.669 Mg
0.000 0.000 0.000 Zn
0.000 6.568 1.334 Zn
```

Properties
**SG**: I-42d
**Magnetization**: 0.00 μB/cell
**Offset from the most stable computed form**: 0 meV per atom
**D(E_F)**: 5.1 states/eV per cell
**DFT formation energy**: 0.2311 eV per atom
**Crystal system**: tetragonal

---

CsRe3Rh after structural relaxation. Source: Alexandria via LeMat-Bulk, functional PBE-GGA.

Geometry as POSCAR:
```
CsRe3Rh
1.0
4.892 0.000 0.000
0.000 4.892 0.000
0.000 0.000 4.892
Cs Re Rh
1 3 1
Cartesian
0.000 0.000 0.000 Cs
0.000 2.446 2.446 Re
2.446 0.000 2.446 Re
2.446 2.446 0.000 Re
2.446 2.446 2.446 Rh
```

Properties
**SG**: Pm-3m
**Magnetization**: 3.50 μB/cell
**Offset from the most stable computed form**: 0 meV per atom
**D(E_F)**: 6.5 states/eV per cell
**DFT formation energy**: 2.5041 eV per atom
**Crystal system**: cubic

---

La7PmY3 after structural relaxation. Source: Alexandria via LeMat-Bulk, functional PBE-GGA.

Geometry as POSCAR:
```
La7PmY3
1.0
5.938 -5.175 0.000
5.938 5.175 0.000
-0.662 0.000 6.497
La Pm Y
7 1 3
Cartesian
0.000 0.000 0.000 La
2.824 1.855 1.718 La
2.585 0.000 5.114 La
2.824 -1.855 1.718 La
8.391 1.855 4.779 La
8.629 0.000 1.383 La
8.391 -1.855 4.779 La
-0.331 0.000 3.248 Pm
5.938 1.735 0.000 Y
5.607 0.000 3.248 Y
5.938 -1.735 0.000 Y
```

Properties
**SG**: C2/m
**Magnetization**: 0.00 μB/cell
**Offset from the most stable computed form**: 42 meV per atom
**D(E_F)**: 17.0 states/eV per cell
**DFT formation energy**: 0.2144 eV per atom
**Crystal system**: monoclinic

---

LiTaNbAg2O6 after structural relaxation. Source: Alexandria via LeMat-Bulk, functional PBE-GGA.

Geometry as POSCAR:
```
LiTaNbAg2O6
1.0
2.903 -2.885 0.000
2.903 2.885 0.000
-0.022 0.000 8.095
Li Ta Nb Ag O
1 1 1 2 6
Cartesian
0.000 0.000 0.000 Li
2.957 0.000 0.006 Ta
3.325 0.000 4.054 Nb
0.494 0.000 2.480 Ag
0.491 0.000 5.624 Ag
1.517 1.412 0.005 O
1.863 1.495 4.052 O
1.517 -1.412 0.005 O
3.121 0.000 1.997 O
3.107 0.000 6.108 O
1.863 -1.495 4.052 O
```

Properties
**SG**: Cm
**Magnetization**: 0.00 μB/cell
**Offset from the most stable computed form**: 7 meV per atom
**D(E_F)**: 3.3 states/eV per cell
**Energy relative to the elements, uncorrected**: -1.742 eV/atom
**Crystal system**: monoclinic

---

VSi2Rh after structural relaxation. Source: Alexandria via LeMat-Bulk, functional PBE-GGA.

Geometry as POSCAR:
```
VSi2Rh
1.0
0.000 2.981 2.981
2.981 0.000 2.981
2.981 2.981 0.000
V Si Rh
1 2 1
Cartesian
0.000 0.000 0.000 V
1.490 1.490 1.490 Si
4.471 4.471 4.471 Si
2.981 2.981 2.981 Rh
```

Properties
**SG**: Fm-3m
**Magnetization**: 1.70 μB/cell
**D(E_F)**: 3.1 states/eV per cell
**Energy relative to the elements, uncorrected**: -0.390 eV/atom
**Crystal system**: cubic